Entry 1:
Here is crystalline PRhC at its relaxed geometry from Alexandria. Energies are from PBE.

abc: 3.649 3.952 7.242
angles: 90.00 107.41 90.00
Fractional positions:
C  0.747  0.000  0.745
C  0.747  0.500  0.245
Rh  0.196  0.000  0.635
Rh  0.196  0.500  0.135
P  0.117  0.500  0.459
P  0.117  0.000  0.959

Values from the calculation:
Total moment, μB per cell: 0.00
Symmetry: Cm
E, eV/atom: -6.762
Mass density, g/cm3: 4.862

=====

Entry 2:
Here is crystalline LiGa2AsO6 at its relaxed geometry from Alexandria. Energies are from PBE.

abc: 5.493 7.290 7.290
angles: 102.31 73.74 73.74
Fractional positions:
Ga  0.170  0.446  0.285
Ga  0.670  0.285  0.446
Ga  0.330  0.715  0.554
Ga  0.830  0.554  0.715
O  0.050  0.628  0.150
O  0.450  0.850  0.372
O  0.550  0.150  0.628
O  0.828  0.028  0.208
O  0.328  0.208  0.028
O  0.000  0.687  0.559
O  0.950  0.372  0.850
O  0.672  0.792  0.972
O  0.172  0.972  0.792
O  0.500  0.559  0.687
O  0.000  0.313  0.441
O  0.500  0.441  0.313
Li  0.750  0.064  0.936
Li  0.250  0.936  0.064
As  0.750  0.811  0.189
As  0.250  0.189  0.811

Values from the calculation:
Total moment, μB per cell: 0.00
Symmetry: C2/c
Uncorrected formation energy, eV per atom: -1.65
E, eV/atom: -5.887
Mass density, g/cm3: 4.129

=====

Entry 3:
Here is crystalline Li2HfTl at its relaxed geometry from Alexandria. Energies are from PBE.

abc: 3.078 3.078 11.062
angles: 82.00 82.00 60.00
Fractional positions:
Li  0.911  0.911  0.266
Li  0.089  0.089  0.734
Hf  0.000  0.000  0.000
Tl  0.500  0.500  0.500

Values from the calculation:
Total moment, μB per cell: 0.00
Symmetry: R-3m
E, eV/atom: -3.788
Mass density, g/cm3: 7.355

=====

Entry 4:
Here is crystalline MnSnMoP at its relaxed geometry from Alexandria. Energies are from PBE.

abc: 3.195 3.195 7.241
angles: 90.00 90.00 120.00
Each line ends with the local moment (μB).
Fractional positions:
Mo  0.667  0.333  0.387  -0.06
Sn  0.333  0.667  0.692  -0.05
Mn  0.667  0.333  0.976  2.28
P  0.000  0.000  0.167  -0.05

Values from the calculation:
Total moment, μB per cell: 2.11
Symmetry: P3m1
E, eV/atom: -7.564
Mass density, g/cm3: 7.799

=====

Entry 5:
Here is crystalline ReSe3 at its relaxed geometry from Alexandria. Energies are from PBE.

abc: 3.860 3.860 6.633
angles: 90.00 90.00 90.00
Fractional positions:
Re  0.000  0.000  0.099
Se  0.000  0.500  0.333
Se  0.500  0.500  0.902
Se  0.500  0.000  0.333

Values from the calculation:
Total moment, μB per cell: 0.00
Symmetry: P4mm
Uncorrected formation energy, eV per atom: 0.51
E, eV/atom: -5.212
Mass density, g/cm3: 7.109

=====

Entry 6:
Here is crystalline BaIrOs2 at its relaxed geometry from Alexandria. Energies are from PBE.

abc: 4.160 2.883 7.232
angles: 78.29 90.00 90.00
Fractional positions:
Os  0.500  0.241  0.139
Os  0.000  0.796  0.030
Ba  0.000  0.559  0.511
Ir  0.500  0.904  0.819

Values from the calculation:
Total moment, μB per cell: 0.00
Symmetry: Pm
E, eV/atom: -7.603
Mass density, g/cm3: 13.880

=====

Entry 7:
Here is crystalline MgAl2Co at its relaxed geometry from Alexandria. Energies are from PBE.

abc: 4.785 4.785 4.785
angles: 132.40 132.40 69.60
Fractional positions:
Co  0.500  0.500  0.000
Al  0.250  0.750  0.500
Al  0.000  0.000  0.000
Mg  0.750  0.250  0.500

Values from the calculation:
Total moment, μB per cell: 0.00
Symmetry: I-4m2
E, eV/atom: -4.145
Mass density, g/cm3: 3.888

=====

Entry 8:
Here is crystalline TaIr2Cl at its relaxed geometry from Alexandria. Energies are from PBE.

abc: 2.863 2.863 10.262
angles: 90.00 90.00 120.15
Each line ends with the local moment (μB).
Fractional positions:
Ta  0.000  0.000  0.493  0.01
Cl  0.500  0.500  0.692  0.00
Ir  0.500  0.500  0.268  0.05
Ir  0.000  0.000  0.046  0.23

Values from the calculation:
Total moment, μB per cell: 0.29
Symmetry: Cmm2
Uncorrected formation energy, eV per atom: 0.33
E, eV/atom: -7.530
Mass density, g/cm3: 13.717